No. 1
The following is a PBE calculation of crystalline ZrScPd2 at its relaxed geometry, from OQMD.

Output
* DFT formation energy: -0.54 eV per atom
* crystal system: cubic
* M_tot: 0.001 μB per atom
* VASP energy: -6.845 eV/atom

Cell lengths 6.530, 6.530, 6.530 Å; angles 90.00, 90.00, 90.00 degrees
Space group F-43m (No. 216)
Symmetry-distinct sites (fractional):
Zr (0.000, 0.000, 0.000)
Sc (0.250, 0.250, 0.250)
Pd (0.000, 0.000, 0.500)
Pd (0.250, 0.250, 0.750)

***

No. 2
The following is a PBE calculation of crystalline ZrScPd at its relaxed geometry, from OQMD.

Output
* DFT formation energy: -0.27 eV per atom
* crystal system: cubic
* M_tot: 0.001 μB per atom
* VASP energy: -6.950 eV/atom

Cell lengths 6.473, 6.473, 6.473 Å; angles 90.00, 90.00, 90.00 degrees
Space group F-43m (No. 216)
Symmetry-distinct sites (fractional):
Zr (0.000, 0.000, 0.000)
Sc (0.000, 0.000, 0.500)
Pd (0.250, 0.250, 0.750)

***

No. 3
The following is a PBE calculation of crystalline Zr2ScPd at its relaxed geometry, from OQMD.

Output
* DFT formation energy: -0.16 eV per atom
* crystal system: cubic
* M_tot: 0.602 μB per atom
* VASP energy: -7.308 eV/atom

Cell lengths 6.877, 6.877, 6.877 Å; angles 90.00, 90.00, 90.00 degrees
Space group F-43m (No. 216)
Symmetry-distinct sites (fractional):
Zr (0.000, 0.000, 0.000)
Zr (0.250, 0.250, 0.250)
Sc (0.000, 0.000, 0.500)
Pd (0.250, 0.250, 0.750)